# Na2MnTcO6 PBE+U optimized geometry
data_Na2MnTcO6
_cell_length_a 5.306
_cell_length_b 5.315
_cell_length_c 5.493
_cell_angle_alpha 118.73
_cell_angle_beta 118.28
_cell_angle_gamma 90.30
_symmetry_space_group_name_H-M 'P -1'
_symmetry_Int_Tables_number 2
_symmetry_space_group_name_Hall '-P 1'
loop_
_atom_site_label
_atom_site_type_symbol
_atom_site_fract_x
_atom_site_fract_y
_atom_site_fract_z
Na1 Na 0.250 0.242 0.494
Mn1 Mn 0.000 0.500 0.000
Tc1 Tc 0.500 0.000 0.000
O1 O 0.195 0.192 0.999
O2 O 0.282 0.671 0.950
O3 O 0.296 0.799 0.541
# - DOS at the Fermi energy (states/eV per atom) = 0.103
# - E_tot (eV per atom) = -6.50
# - calculated volume (Å³/f.u.) = 114